Record 1
Here is a relaxed structure of NaMgHg2Pd from Alexandria via LeMat-Bulk. Energies are from PBE. Values from VASP.

## Properties
The calculated total energy is -9.5 eV for the cell shown. Its volume is 28.1 Å³ per atom. The formation energy from the elements comes out at -0.8 eV/f.u.

The structure in Quantum ESPRESSO input format:
```
&SYSTEM
  ibrav = 0, nat = 5, ntyp = 4
/
ATOMIC_SPECIES
Na 22.99 Na.upf
Mg 24.30 Mg.upf
Hg 200.59 Hg.upf
Pd 106.42 Pd.upf
ATOMIC_POSITIONS angstrom
Na 2.662 2.662 2.476
Mg 0.000 0.000 2.476
Hg 0.000 2.662 0.000
Hg 2.662 0.000 0.000
Pd 0.000 0.000 0.000
CELL_PARAMETERS angstrom
5.323 0.000 0.000
0.000 5.323 0.000
0.000 0.000 4.952
```



Record 2
Here is a relaxed structure of YPbS2O8 from Alexandria via LeMat-Bulk. Energies are from PBE. Values from VASP.

## Properties
The calculated total energy is -79.1 eV for the cell shown. Its volume is 19.0 Å³ per atom.

The structure in Quantum ESPRESSO input format:
```
&SYSTEM
  ibrav = 0, nat = 12, ntyp = 4
/
ATOMIC_SPECIES
Y 88.91 Y.upf
Pb 207.20 Pb.upf
S 32.06 S.upf
O 16.00 O.upf
ATOMIC_POSITIONS angstrom
Y 0.000 0.000 0.000
Pb -0.785 -0.212 4.385
S -6.010 2.134 0.109
S -3.933 0.714 6.154
O -4.353 2.133 6.353
O -6.825 2.557 -1.067
O -6.769 2.264 1.358
O -3.174 0.583 4.905
O -3.118 0.291 7.330
O -5.162 -0.132 6.098
O -4.781 2.980 0.165
O -5.589 0.715 -0.089
CELL_PARAMETERS angstrom
-3.263 4.221 -0.963
-5.110 -0.950 -1.544
-1.570 -0.423 8.770
```



Record 3
Here is a relaxed structure of TeHI2Br from Alexandria via LeMat-Bulk. Energies are from PBE. Values from VASP.

## Properties
The calculated total energy is -6.7 eV for the cell shown. Its volume is 41.7 Å³ per atom.

The structure in Quantum ESPRESSO input format:
```
&SYSTEM
  ibrav = 0, nat = 5, ntyp = 4
/
ATOMIC_SPECIES
I 126.90 I.upf
H 1.01 H.upf
Te 127.60 Te.upf
Br 79.90 Br.upf
ATOMIC_POSITIONS angstrom
I -0.321 -1.582 -2.582
I -2.049 -1.798 1.356
H -0.312 -5.115 -0.418
Te 2.057 -1.735 0.807
Br 0.000 0.000 0.000
CELL_PARAMETERS angstrom
-4.097 -3.596 2.713
-0.642 -3.164 -5.163
4.114 -3.469 1.615
```



Record 4
Here is a relaxed structure of Mg2AuBr from Alexandria via LeMat-Bulk. Energies are from PBE. Values from VASP.

## Properties
The calculated total energy is -9.8 eV for the cell shown. Its volume is 25.1 Å³ per atom.

The structure in Quantum ESPRESSO input format:
```
&SYSTEM
  ibrav = 0, nat = 4, ntyp = 3
/
ATOMIC_SPECIES
Au 196.97 Au.upf
Br 79.90 Br.upf
Mg 24.30 Mg.upf
ATOMIC_POSITIONS angstrom
Au 0.000 0.000 3.715
Br 1.687 1.687 7.224
Mg 0.000 0.000 8.736
Mg 1.687 1.687 2.378
CELL_PARAMETERS angstrom
3.374 0.000 0.000
0.000 3.374 0.000
0.000 0.000 8.821
```



Computed M_tot (μB per atom) in order:
0.000, 0.084, 0.452, 0.000